Density functional theory data (PBE) for a relaxed LuScGeIr crystal.

Values from the calculation:
The value obtained for the magnetization is 0.00 μB/f.u. For the mass density, the calculation gives 10.5 g/cm3. The value obtained for the volume is 76 Å³/cell. For the formation energy, the calculation gives -2.99 eV/f.u.

Cell: 4.764 4.764 4.764 Å, 60.00 60.00 60.00°
Sites, in units of the cell vectors:
Lu: 0.000 0.000 0.000
Sc: 0.500 0.500 0.500
Ge: 0.750 0.750 0.750
Ir: 0.250 0.250 0.250